No. 1
The following is a DFT calculation (GGA-PBE) of a relaxed Ga2CuPtW crystal.

Cell: 4.3433 4.7005 4.3433 Å, 90.00 90.00 90.00°
Last column: nearest neighbours and their distance in Å.
Element x y z (fractional)
Ga 0.0000 0.0000 0.5000  2 Cu 2.17
Ga 0.5000 0.0000 0.0000  2 Cu 2.17
Cu 0.0000 0.0000 0.0000  4 Ga 2.17, 2 W 2.35
W 0.0000 0.5000 0.0000  2 Cu 2.35
Pt 0.5000 0.5000 0.5000  4 W 3.07, 8 Ga 3.20

Computed properties:
Size of the total moment ... 0.2 μB per cell
Energy relative to the elements ... 0.899 eV per atom

No. 2
The following is a DFT calculation (GGA-PBE) of a relaxed Y2Ga3CuPt4 crystal.

Cell: 4.0559 4.0559 11.2181 Å, 90.00 90.00 90.00°
Last column: nearest neighbours and their distance in Å.
Element x y z (fractional)
Y 0.5000 0.0000 0.2579  4 Pt 3.07, 6 Ga 3.18-3.39, 2 Cu 3.39
Y 0.0000 0.5000 0.7421  4 Pt 3.07, 6 Ga 3.18-3.39, 2 Cu 3.39
Ga 0.0000 0.0000 0.5000  4 Pt 2.60, 4 Cu 2.87
Ga 0.5000 0.0000 0.8655  5 Pt 2.47-2.53
Ga 0.0000 0.5000 0.1345  5 Pt 2.47-2.53
Cu 0.5000 0.5000 0.5000  4 Pt 2.60, 4 Ga 2.87
Pt 0.5000 0.5000 0.0000  4 Ga 2.53
Pt 0.0000 0.0000 0.0000  4 Ga 2.53
Pt 0.5000 0.0000 0.6452  3 Ga 2.47-2.60, 2 Cu 2.60
Pt 0.0000 0.5000 0.3548  3 Ga 2.47-2.60, 2 Cu 2.60

Computed properties:
Size of the total moment ... 0.0 μB per cell
Energy relative to the elements ... -0.883 eV per atom

No. 3
The following is a DFT calculation (GGA-PBE) of a relaxed YGa2CuPt crystal.

Cell: 4.7462 5.5212 4.7462 Å, 90.00 90.00 90.00°
Last column: nearest neighbours and their distance in Å.
Element x y z (fractional)
Y 0.0000 0.5000 0.0000  2 Pt 2.76
Cu 0.5000 0.5000 0.5000  4 Y 3.36, 8 Ga 3.64
Ga 0.0000 0.0000 0.5000  2 Pt 2.37
Ga 0.5000 0.0000 0.0000  2 Pt 2.37
Pt 0.0000 0.0000 0.0000  4 Ga 2.37

Computed properties:
Size of the total moment ... 0.0 μB per cell
Energy relative to the elements ... -0.132 eV per atom

Repeat the third record exactly.
The following is a DFT calculation (GGA-PBE) of a relaxed YGa2CuPt crystal.

Cell: 4.7462 5.5212 4.7462 Å, 90.00 90.00 90.00°
Last column: nearest neighbours and their distance in Å.
Element x y z (fractional)
Y 0.0000 0.5000 0.0000  2 Pt 2.76
Cu 0.5000 0.5000 0.5000  4 Y 3.36, 8 Ga 3.64
Ga 0.0000 0.0000 0.5000  2 Pt 2.37
Ga 0.5000 0.0000 0.0000  2 Pt 2.37
Pt 0.0000 0.0000 0.0000  4 Ga 2.37

Computed properties:
Size of the total moment ... 0.0 μB per cell
Energy relative to the elements ... -0.132 eV per atom

Question: Among the records above, which one has the lowest energy relative to the elements?
Answer: Y2Ga3CuPt4

Question: Look up the energy relative to the elements of the first one.
Answer: 0.899 eV per atom

Repeat the first record exactly.
The following is a DFT calculation (GGA-PBE) of a relaxed Ga2CuPtW crystal.

Cell: 4.3433 4.7005 4.3433 Å, 90.00 90.00 90.00°
Last column: nearest neighbours and their distance in Å.
Element x y z (fractional)
Ga 0.0000 0.0000 0.5000  2 Cu 2.17
Ga 0.5000 0.0000 0.0000  2 Cu 2.17
Cu 0.0000 0.0000 0.0000  4 Ga 2.17, 2 W 2.35
W 0.0000 0.5000 0.0000  2 Cu 2.35
Pt 0.5000 0.5000 0.5000  4 W 3.07, 8 Ga 3.20

Computed properties:
Size of the total moment ... 0.2 μB per cell
Energy relative to the elements ... 0.899 eV per atom